A geometry-optimized La2AgSnP structure, computed with PBE.

It has space group P4/mmm (No. 123), with a = 5.662 Å, b = 5.662 Å, c = 4.692 Å, α = 90.00°, β = 90.00° and γ = 90.00°. The distinct sites, in fractional coordinates, are La at (0.000, 0.500, 0.000), Ag at (0.000, 0.000, 0.500), Sn at (0.500, 0.500, 0.500) and P at (0.000, 0.000, 0.000).

Its crystal system is tetragonal. As for the formation energy from the elements: -0.66 eV/atom. Its total DFT energy (no corrections) is -25.4 eV per cell.